Here is a relaxed Ce2MnNi12P3 crystal from the Alexandria database. Energies are from PBE.

Properties
* formation enthalpy at 0 K: -0.158 eV per atom
* electronic total energy: -6.0823 eV/atom
* space-group type: R-3m, No. 166

a b c (Å): 6.270 6.270 6.270
angles (deg): 84.39 84.39 84.39
Each line ends with the local moment (μB).
Atoms (fractional coordinates):
Ce 0.663 0.663 0.663  0.06
Ce 0.337 0.337 0.337  0.06
Mn 0.000 0.000 0.000  3.95
Ni 0.379 0.379 0.897  0.02
Ni 0.815 0.815 0.317  0.08
Ni 0.317 0.815 0.815  0.08
Ni 0.897 0.379 0.379  0.02
Ni 0.815 0.317 0.815  0.08
Ni 0.379 0.897 0.379  0.02
Ni 0.621 0.621 0.103  0.02
Ni 0.185 0.185 0.683  0.08
Ni 0.683 0.185 0.185  0.08
Ni 0.103 0.621 0.621  0.02
Ni 0.185 0.683 0.185  0.08
Ni 0.621 0.103 0.621  0.02
P 0.500 0.000 0.000  0.01
P 0.000 0.500 0.000  0.01
P 0.000 0.000 0.500  0.01



Here is a relaxed Ce2MnNi3P4 crystal from the Alexandria database. Energies are from PBE.

Properties
* formation enthalpy at 0 K: -0.961 eV per atom
* electronic total energy: -6.9631 eV/atom
* space-group type: P-4m2, No. 115

a b c (Å): 4.026 4.026 9.118
angles (deg): 90.00 90.00 90.00
Each line ends with the local moment (μB).
Atoms (fractional coordinates):
Ce 0.500 0.000 0.248  -0.18
Ce 0.000 0.500 0.752  -0.18
Mn 0.500 0.500 0.500  0.91
Ni 0.000 0.000 0.500  0.13
Ni 0.500 0.000 0.886  -0.03
Ni 0.000 0.500 0.114  -0.03
P 0.500 0.500 0.000  0.00
P 0.000 0.000 0.000  0.00
P 0.500 0.000 0.630  -0.01
P 0.000 0.500 0.370  -0.01